#one
Tb4ZnCd | the Alexandria database | PBE | relaxed; theoretical density = 8.2 Mg/m³; symmetry = P4/mmm, No. 123
1.0
-2.498 -1.809 -1.831
2.355 -2.636 -0.609
-3.685 -5.771 10.733
Tb Zn Cd
4 1 1
Cartesian
-3.241 -7.186 8.011 Tb
-0.587 -3.030 0.282 Tb
-2.589 -8.275 4.684 Tb
-1.239 -1.940 3.609 Tb
0.000 0.000 0.000 Zn
-1.914 -5.108 4.147 Cd

---

#two
Tb4ZnCd | the Alexandria database | PBE | relaxed; theoretical density = 7.4 Mg/m³; symmetry = P4/mmm, No. 123
1.0
5.006 0.000 -0.002
0.000 5.007 -0.002
0.003 0.005 7.315
Tb Zn Cd
4 1 1
Cartesian
2.510 4.993 1.906 Tb
2.512 4.998 5.375 Tb
0.009 2.494 5.377 Tb
0.007 2.490 1.909 Tb
0.008 4.996 3.641 Zn
2.513 2.495 7.299 Cd

---

Stability, lowest: #two

---

#one
Tb3Zn4Cd4 | the Alexandria database | PBE | relaxed; theoretical density = 8.1 Mg/m³; symmetry = Immm, No. 71
1.0
-2.352 -2.535 2.441
6.343 -2.917 3.084
-2.158 8.026 2.585
Tb Zn Cd
3 4 4
Cartesian
-0.039 1.275 1.286 Tb
1.872 1.299 6.824 Tb
3.172 -1.459 1.542 Tb
3.098 0.953 3.975 Zn
-1.265 1.621 4.135 Zn
4.045 -3.669 3.759 Zn
-0.055 -1.783 1.766 Zn
-1.333 4.095 2.968 Cd
0.717 -0.395 3.951 Cd
3.165 -1.521 5.141 Cd
1.116 2.969 4.159 Cd

---

#two
Tb3Zn4Cd4 | the Alexandria database | PBE | relaxed; theoretical density = 8.2 Mg/m³; symmetry = P-1, No. 2
1.0
3.556 0.000 0.002
0.000 4.695 -0.001
1.768 2.320 14.476
Tb Zn Cd
3 4 4
Cartesian
1.772 4.674 10.402 Tb
3.553 2.341 4.074 Tb
0.000 0.000 0.000 Tb
3.548 4.672 13.190 Zn
1.777 2.343 1.287 Zn
1.776 4.688 5.328 Zn
3.549 2.327 9.148 Zn
3.549 2.325 11.821 Cd
1.773 2.336 6.868 Cd
3.551 4.679 7.608 Cd
1.775 4.691 2.656 Cd

---

Stability, lowest: #one

---

#one
Tb2ZnCd3 | the Alexandria database | PBE | relaxed; theoretical density = 8.0 Mg/m³; symmetry = Imm2, No. 44
1.0
4.735 0.000 -1.260
-0.257 3.396 -0.965
-0.123 0.721 9.062
Tb Zn Cd
2 1 3
Cartesian
0.500 0.571 1.877 Tb
4.027 1.898 5.606 Tb
1.729 3.822 6.496 Zn
3.142 2.730 2.277 Cd
2.448 1.937 -0.328 Cd
1.091 3.092 4.099 Cd

---

#two
Tb2ZnCd3 | the Alexandria database | PBE | relaxed; theoretical density = 8.4 Mg/m³; symmetry = Pmm2, No. 25
1.0
-0.240 -2.356 -2.490
-1.558 -3.293 3.266
-7.970 2.337 -1.445
Tb Zn Cd
2 1 3
Cartesian
-0.852 -1.625 1.620 Tb
-3.931 1.153 -0.713 Tb
-3.549 -2.047 -0.093 Zn
-6.756 0.768 -2.448 Cd
-1.499 -0.774 -1.495 Cd
-6.153 -1.284 -0.565 Cd

---

Stability, lowest: #one

---

#one
TbZrZnCd | the Alexandria database | PBE | relaxed; theoretical density = 8.0 Mg/m³; symmetry = P4mm, No. 99
1.0
-3.442 -0.383 -0.440
0.583 -2.179 -2.664
0.036 -5.663 4.640
Tb Zr Zn Cd
1 1 1 1
Cartesian
-1.401 -5.838 2.182 Tb
-1.417 -3.210 0.029 Zr
0.020 -3.112 2.550 Zn
0.003 -0.509 0.417 Cd

---

#two
TbZrZnCd | the Alexandria database | PBE | relaxed; theoretical density = 7.9 Mg/m³; symmetry = F-43m, No. 216
1.0
5.029 0.000 0.000
2.514 4.355 0.000
2.514 1.452 4.106
Zn Tb Zr Cd
1 1 1 1
Cartesian
2.514 1.452 1.027 Zn
5.029 2.903 2.053 Tb
0.000 0.000 0.000 Zr
7.543 4.355 3.080 Cd

---

Stability, lowest: #two